Material: KSr
Method: DFT, PBE-GGA
State: optimized geometry

## Properties
- DFT formation energy: 0.093 eV/atom
- Density of states at the Fermi level: 1.88 states/eV/f.u.
- Calculated volume: 62.60 A^3/atom
- Energy: -5.19 eV per cell

Cell and atoms, written as POSCAR:
```
KSr
1.0
4.310 0.000 0.000
0.000 6.418 0.000
-0.077 0.000 9.052
K Sr
2 2
direct
0.247 0.250 0.128
0.753 0.750 0.872
0.252 0.250 0.607
0.748 0.750 0.393
```